Computed, not measured: a geometry-optimized InSe2S structure at the PBE level of DFT.

Unit cell a=3.5621 b=3.5621 c=27.6733 alpha=90.00 beta=90.00 gamma=120.00
Last column: nearest neighbours and their distance in Å.
Space group R-3m (No. 166, hexagonal axes)
One atom of each set of equivalent atoms:
In  0.0000  0.0000  0.0000 [3 per cell]  2 Se 3.04
Se  0.0000  0.0000  0.1097 [6 per cell]  3 S 2.59
S  0.0000  0.0000  0.5000 [3 per cell]  6 Se 2.59

Computed properties:
total energy	-3.14	eV/atom
calculated density	4.993	g/cm³
N(E_F)	0.5743	states/eV/atom
M_tot	0.00	μB per formula unit